# 1
Here is a geometry-optimized PmNi12Sn6 structure from Alexandria via LeMat-Bulk. Energies are from PBE-GGA.

Summary:
Size of the total moment (μB/atom): 0.000
Raw total energy (eV per atom): -5.231
Volume (Å³/atom): 16.33
ΔH_f (0 K) (eV/atom): -0.07
ρ (Mg/m³): 8.4

Unit cell a=10.9550 b=10.9550 c=8.9558 alpha=90.00 beta=90.00 gamma=120.00
With the nearest neighbours (Å) after each atom.
Space group R-3m (No. 166, hexagonal axes)
Asymmetric unit:
1 Pm 0.0000 0.0000 0.0000 x3  6 Ni 2.90
2 Ni 0.0000 0.3902 0.5000 x18  3 Ni 2.41-2.59, 4 Sn 2.50-2.57
3 Ni 0.0806 0.1613 0.2749 x18  4 Ni 2.59-2.65, 3 Sn 2.63-2.75, 1 Pm 2.90
4 Sn 0.0518 0.5259 0.2529 x18  7 Ni 2.50-2.75



# 2
Here is a geometry-optimized Tm2HgTe structure from Alexandria via LeMat-Bulk. Energies are from PBE-GGA.

Summary:
Size of the total moment (μB/atom): 0.000
Raw total energy (eV per atom): -3.905
Volume (Å³/atom): 27.95
Relative energy among the computed polymorphs (eV per atom): 0.000
Uncorrected formation energy (eV per atom): -0.808
ρ (Mg/m³): 9.9

Unit cell a=7.0541 b=4.0671 c=8.1372 alpha=90.00 beta=106.72 gamma=90.00
With the nearest neighbours (Å) after each atom.
Space group C2/m (No. 12)
Asymmetric unit:
1 Tm 0.2482 0.0000 0.2444 x4  3 Hg 3.02-3.03, 3 Te 3.08
2 Hg 0.0000 0.5000 0.0000 x2  6 Tm 3.02-3.03
3 Te 0.0000 0.0000 0.5000 x2  6 Tm 3.08



# 3
Here is a geometry-optimized Sc2CoHg structure from Alexandria via LeMat-Bulk. Energies are from PBE-GGA.

Summary:
Size of the total moment (μB/atom): 0.000
Raw total energy (eV per atom): -5.250
Volume (Å³/atom): 19.72
ΔH_f (0 K) (eV/atom): -0.23
ρ (Mg/m³): 7.4

Unit cell a=3.7014 b=3.7002 c=11.5198 alpha=90.00 beta=90.00 gamma=90.00
With the nearest neighbours (Å) after each atom.
Space group Amm2 (No. 38)
Asymmetric unit:
1 Sc 0.0000 0.0000 0.0000 x2  4 Co 2.65
2 Sc 0.5000 0.0000 0.3241 x2  1 Co 2.45
3 Co 0.5000 0.0000 0.5368 x2  5 Sc 2.45-2.65, 2 Hg 2.73
4 Hg 0.0000 0.0000 0.7109 x2  2 Co 2.73, 6 Sc 2.92-3.05



# 4
Here is a geometry-optimized Li2MgTa structure from Alexandria via LeMat-Bulk. Energies are from PBE-GGA.

Summary:
Size of the total moment (μB/atom): 0.000
Raw total energy (eV per atom): -3.991
Volume (Å³/atom): 17.81
ΔH_f (0 K) (eV/atom): 0.33
ρ (Mg/m³): 5.1

Unit cell a=2.8217 b=2.8217 c=8.9451 alpha=90.00 beta=90.00 gamma=90.00
With the nearest neighbours (Å) after each atom.
Space group P4/mmm (No. 123)
Asymmetric unit:
1 Li 0.0000 0.0000 0.2487 x2  4 Li 2.82, 4 Ta 2.99, 4 Mg 3.01
2 Mg 0.5000 0.5000 0.5000 x1  4 Mg 2.82, 8 Li 3.01
3 Ta 0.5000 0.5000 0.0000 x1  4 Ta 2.82, 8 Li 2.99